# 1
Entry from the Alexandria database: BaPuTl4 after structural relaxation (PBE).

Lattice parameters (Å, degrees): 9.137 9.137 9.137 90.00 90.00 90.00
Space group F-43m (No. 216)
Unique sites:
Ba (0.000, 0.000, 0.000) (multiplicity 4)
Pu (0.250, 0.250, 0.750) (multiplicity 4)
Tl (0.124, 0.124, 0.376) (multiplicity 16)

Results
- total magnetic moment (μB/f.u.) = 6.536
- formation energy from the elements (eV per atom) = -0.05
- E_tot (eV per cell) = -104.0

---

# 2
Entry from the Alexandria database: Ce3I7O after structural relaxation (PBE).

Lattice parameters (Å, degrees): 8.7171 8.7171 7.7275 90.00 90.00 120.00
Space group P3m1 (No. 156)
Unique sites:
Ce (0.0369, 0.5184, 0.0000) (multiplicity 3)
I (0.1616, 0.3231, 0.7432) (multiplicity 3)
I (0.3333, 0.1667, 0.2273) (multiplicity 3)
I (0.6667, 0.3333, 0.7691) (multiplicity 1)
O (0.3333, 0.6667, 0.0626) (multiplicity 1)

Results
- total magnetic moment (μB/f.u.) = 3.000
- formation energy from raw total energies (eV/atom) = -1.64
- E_tot (eV per cell) = -51.6

---

# 3
Entry from the Alexandria database: Ca6Ac2La after structural relaxation (PBE).

Lattice parameters (Å, degrees): 10.073 19.077 4.006 90.00 99.23 90.00
Space group C2/m (No. 12)
Unique sites:
Ca (0.164, 0.166, 0.339) (multiplicity 8)
Ca (0.171, 0.000, 0.839) (multiplicity 4)
Ac (0.000, 0.340, 0.000) (multiplicity 4)
La (0.000, 0.500, 0.500) (multiplicity 2)

Results
- total magnetic moment (μB/f.u.) = 0.012
- formation energy from the elements (eV per atom) = 0.07
- E_tot (eV per cell) = -49.0